No. 1
A relaxed structure of CeVMoC3, computed with PBE.

a = 5.573 Å, b = 3.167 Å, c = 8.275 Å
α = 90.00°, β = 102.07°, γ = 90.00°
Space group P2_1/m (No. 11)
Inequivalent atoms, fractional coordinates:
Ce1 0.140 0.250 0.197 [2 per cell]
V1 0.383 0.250 0.864 [2 per cell]
Mo1 0.273 0.750 0.551 [2 per cell]
C1 0.079 0.250 0.653 [2 per cell]
C2 0.277 0.750 0.980 [2 per cell]
C3 0.467 0.750 0.346 [2 per cell]

Energy = -9.15 eV/atom
Spin magnetization = 0.0 μB/cell



No. 2
A relaxed structure of Cd2PW, computed with PBE.

a = 3.777 Å, b = 3.777 Å, c = 4.967 Å
α = 90.00°, β = 90.00°, γ = 90.00°
Space group P4/mmm (No. 123)
Inequivalent atoms, fractional coordinates:
Cd1 0.000 0.500 0.000 [2 per cell]
P1 0.000 0.000 0.500 [1 per cell]
W1 0.500 0.500 0.500 [1 per cell]

Spin magnetization = 0.0 μB/cell
Energy above the most stable polymorph in this dataset = 2.32 eV per formula unit



No. 3
A relaxed structure of La3PrAl8, computed with PBE.

a = 5.7381 Å, b = 5.7381 Å, c = 9.4484 Å
α = 90.00°, β = 90.00°, γ = 120.00°
Space group P3m1 (No. 156)
Inequivalent atoms, fractional coordinates:
La1 0.0000 0.0000 0.0000 [1 per cell]
La2 0.0000 0.0000 0.3615 [1 per cell]
La3 0.3333 0.6667 0.8644 [1 per cell]
Pr1 0.3333 0.6667 0.4994 [1 per cell]
Al1 0.0092 0.5046 0.1823 [3 per cell]
Al2 0.3242 0.1621 0.6797 [3 per cell]
Al3 0.6667 0.3333 0.4310 [1 per cell]
Al4 0.6667 0.3333 0.9297 [1 per cell]

Spin magnetization = 0.0 μB/cell
Energy above the most stable polymorph in this dataset = 0.23 eV per formula unit



No. 4
A relaxed structure of Nd2Cd3Au2, computed with PBE.

a = 10.232 Å, b = 4.704 Å, c = 7.477 Å
α = 90.00°, β = 108.89°, γ = 90.00°
Space group C2/m (No. 12)
Inequivalent atoms, fractional coordinates:
Nd1 0.138 0.000 0.281 [4 per cell]
Cd1 0.000 0.500 0.500 [2 per cell]
Cd2 0.119 0.500 0.932 [4 per cell]
Au1 0.165 0.000 0.707 [4 per cell]

Spin magnetization = 0.0 μB/cell
Energy above the most stable polymorph in this dataset = 0.00 eV per formula unit



No. 5
A relaxed structure of ScGaO3, computed with PBE.

a = 3.3219 Å, b = 3.3219 Å, c = 11.8807 Å
α = 90.00°, β = 90.00°, γ = 120.00°
Space group P6_3/mmc (No. 194)
Inequivalent atoms, fractional coordinates:
Sc1 0.0000 0.0000 0.0000 [2 per cell]
Ga1 0.3333 0.6667 0.2500 [2 per cell]
O1 0.0000 0.0000 0.2500 [2 per cell]
O2 0.3333 0.6667 0.0836 [4 per cell]

E_form (uncorrected) = -2.68 eV per atom
Spin magnetization = 0.0 μB/cell



No. 6
A relaxed structure of Ta2Ir2Os3, computed with PBE.

a = 15.620 Å, b = 3.953 Å, c = 3.882 Å
α = 90.00°, β = 104.27°, γ = 90.00°
Space group C2/m (No. 12)
Inequivalent atoms, fractional coordinates:
Ta1 0.118 0.000 0.119 [4 per cell]
Ir1 0.123 0.500 0.623 [4 per cell]
Os1 0.000 0.500 0.000 [2 per cell]
Os2 0.244 0.000 0.745 [4 per cell]

Energy = -10.70 eV/atom
Spin magnetization = 0.0 μB/cell



No. 7
A relaxed structure of NaAl2O3, computed with PBE.

a = 8.609 Å, b = 9.012 Å, c = 5.342 Å
α = 90.00°, β = 90.00°, γ = 90.00°
Space group Cmcm (No. 63)
Inequivalent atoms, fractional coordinates:
Na1 0.000 0.110 0.250 [4 per cell]
Al1 0.162 0.500 0.000 [8 per cell]
O1 0.000 0.451 0.750 [4 per cell]
O2 0.217 0.050 0.750 [8 per cell]

E_form (uncorrected) = -1.99 eV per atom
Spin magnetization = 0.0 μB/cell



No. 8
A relaxed structure of AcTmAgRu, computed with PBE.

a = 7.288 Å, b = 7.288 Å, c = 7.288 Å
α = 90.00°, β = 90.00°, γ = 90.00°
Space group F-43m (No. 216)
Inequivalent atoms, fractional coordinates:
Ac1 0.000 0.000 0.000 [4 per cell]
Tm1 0.000 0.000 0.500 [4 per cell]
Ag1 0.250 0.250 0.750 [4 per cell]
Ru1 0.250 0.250 0.250 [4 per cell]

Energy = -5.34 eV/atom
Spin magnetization = 0.0 μB/cell



No. 9
A relaxed structure of Nb2V4W3, computed with PBE.

a = 4.4349 Å, b = 4.4349 Å, c = 8.1335 Å
α = 90.00°, β = 90.00°, γ = 120.00°
Space group P-3m1 (No. 164)
Inequivalent atoms, fractional coordinates:
Nb1 0.3333 0.6667 0.2179 [2 per cell]
V1 0.0000 0.0000 0.3340 [2 per cell]
V2 0.3333 0.6667 0.8878 [2 per cell]
W1 0.0000 0.0000 0.0000 [1 per cell]
W2 0.3333 0.6667 0.5570 [2 per cell]

Energy = -10.64 eV/atom
Spin magnetization = 0.0 μB/cell



No. 10
A relaxed structure of Cs2U2TlS7, computed with PBE.

a = 5.221 Å, b = 5.221 Å, c = 27.857 Å
α = 90.00°, β = 90.00°, γ = 90.00°
Space group I4/mmm (No. 139)
Inequivalent atoms, fractional coordinates:
Cs1 0.000 0.000 0.186 [4 per cell]
U1 0.000 0.000 0.407 [4 per cell]
Tl1 0.000 0.000 0.000 [2 per cell]
S1 0.000 0.000 0.318 [4 per cell]
S2 0.000 0.000 0.500 [2 per cell]
S3 0.000 0.500 0.091 [8 per cell]

E_form (uncorrected) = -1.18 eV per atom
Spin magnetization = 2.1 μB/cell



No. 11
A relaxed structure of Sn2COF, computed with PBE.

a = 4.726 Å, b = 4.726 Å, c = 3.808 Å
α = 90.00°, β = 90.00°, γ = 90.00°
Space group P4/mmm (No. 123)
Inequivalent atoms, fractional coordinates:
Sn1 0.000 0.500 0.000 [2 per cell]
C1 0.000 0.000 0.500 [1 per cell]
O1 0.500 0.500 0.500 [1 per cell]
F1 0.500 0.500 0.000 [1 per cell]

E_form (uncorrected) = 0.94 eV per atom
Spin magnetization = 1.0 μB/cell



No. 12
A relaxed structure of EuErPdAu, computed with PBE.

a = 7.192 Å, b = 7.192 Å, c = 7.192 Å
α = 90.00°, β = 90.00°, γ = 90.00°
Space group F-43m (No. 216)
Inequivalent atoms, fractional coordinates:
Eu1 0.000 0.000 0.000 [4 per cell]
Er1 0.000 0.000 0.500 [4 per cell]
Pd1 0.250 0.250 0.250 [4 per cell]
Au1 0.250 0.250 0.750 [4 per cell]

Energy = -6.58 eV/atom
Spin magnetization = 28.2 μB/cell